Cd2CoAg | the Alexandria database | PBE-GGA | relaxed; space group = No. 123; energy = -2.770 eV per atom; DFT formation energy = 0.18 eV per atom; total magnetization = 0.17 μB per atom; D(E_F) = 1.088 states/eV per atom
1.0
2.992 0.000 0.000
0.000 2.992 0.000
0.000 0.000 7.702
Cd Co Ag
2 1 1
Direct
0.000 0.000 0.224
0.000 0.000 0.776
0.500 0.500 0.000
0.500 0.500 0.500